Entry 1:
PBE LaSm2Y5Th, optimized geometry; uncorrected energy = -103.3 eV/cell; SG = I4/mcm, No. 140; E_form = 0.273 eV/atom
1.0
-4.3754 4.3754 7.7891
4.3754 -4.3754 7.7891
4.3754 4.3754 -7.7891
La Sm Y Th
2 4 10 2
direct
0.2500 0.7500 0.5000 La
0.7500 0.2500 0.5000 La
0.1162 0.6162 0.7325 Sm
0.3838 0.1162 0.5000 Sm
0.6162 0.8838 0.5000 Sm
0.8838 0.3838 0.2675 Sm
0.0000 0.0000 0.0000 Y
0.0725 0.1545 0.5000 Y
0.1545 0.6545 0.0820 Y
0.3455 0.4275 0.5000 Y
0.4275 0.9275 0.0820 Y
0.5000 0.5000 0.0000 Y
0.5725 0.0725 0.9180 Y
0.6545 0.5725 0.5000 Y
0.8455 0.3455 0.9180 Y
0.9275 0.8455 0.5000 Y
0.2500 0.2500 0.0000 Th
0.7500 0.7500 0.0000 Th

Entry 2:
PBE La2SmY2Th, optimized geometry; uncorrected energy = -68.8 eV/cell; SG = Pnnm, No. 58; E_form = 0.090 eV/atom
1.0
6.2186 0.0000 0.0000
0.0000 18.4910 0.0000
0.0000 0.0000 3.6019
La Sm Y Th
4 2 4 2
direct
0.1657 0.1557 0.0000 La
0.3343 0.6557 0.5000 La
0.6657 0.3443 0.5000 La
0.8343 0.8443 0.0000 La
0.0000 0.5000 0.5000 Sm
0.5000 0.0000 0.0000 Sm
0.1732 0.3446 0.0000 Y
0.3268 0.8446 0.5000 Y
0.6732 0.1554 0.5000 Y
0.8268 0.6554 0.0000 Y
0.0000 0.0000 0.5000 Th
0.5000 0.5000 0.0000 Th

Entry 3:
PBE LaSm3YTh, optimized geometry; uncorrected energy = -65.5 eV/cell; SG = P2_1/m, No. 11; E_form = 0.035 eV/atom
1.0
8.1394 0.0000 0.0000
0.0000 5.1292 0.0000
-3.3089 0.0000 9.7511
La Sm Y Th
2 6 2 2
direct
0.1688 0.2500 0.2907 La
0.8312 0.7500 0.7093 La
0.1704 0.7500 0.5455 Sm
0.1789 0.2500 0.7957 Sm
0.1794 0.7500 0.0432 Sm
0.8206 0.2500 0.9568 Sm
0.8211 0.7500 0.2043 Sm
0.8296 0.2500 0.4545 Sm
0.4989 0.2500 0.6292 Y
0.5011 0.7500 0.3708 Y
0.4986 0.7500 0.8789 Th
0.5014 0.2500 0.1211 Th

Entry 4:
PBE La2SmYTh, optimized geometry; uncorrected energy = -56.4 eV/cell; SG = P2_1/m, No. 11; E_form = 0.056 eV/atom
1.0
6.3662 0.0000 0.0000
0.0000 5.9022 0.0000
-3.1704 0.0000 9.2670
La Sm Y Th
4 2 2 2
direct
0.0684 0.2500 0.3144 La
0.1387 0.7500 0.1088 La
0.8613 0.2500 0.8912 La
0.9316 0.7500 0.6856 La
0.4762 0.2500 0.1021 Sm
0.5238 0.7500 0.8979 Sm
0.2635 0.2500 0.6943 Y
0.7365 0.7500 0.3057 Y
0.3562 0.7500 0.5072 Th
0.6438 0.2500 0.4928 Th

Entry 5:
PBE La6SmY2Th, optimized geometry; uncorrected energy = -106.7 eV/cell; SG = C2/c, No. 15; E_form = 0.129 eV/atom
1.0
5.0266 -7.6528 0.0000
5.0266 7.6528 0.0000
-0.2706 0.0000 9.1617
La Sm Y Th
12 2 4 2
direct
0.0441 0.4711 0.6907 La
0.0713 0.7847 0.9016 La
0.2153 0.9287 0.5984 La
0.2796 0.5724 0.0894 La
0.4276 0.7204 0.4106 La
0.4711 0.0441 0.1907 La
0.5289 0.9559 0.8093 La
0.5724 0.2796 0.5894 La
0.7204 0.4276 0.9106 La
0.7847 0.0713 0.4016 La
0.9287 0.2153 0.0984 La
0.9559 0.5289 0.3093 La
0.0720 0.9280 0.2500 Sm
0.9280 0.0720 0.7500 Sm
0.2065 0.2952 0.4318 Y
0.2952 0.2065 0.9318 Y
0.7048 0.7935 0.0682 Y
0.7935 0.7048 0.5682 Y
0.4345 0.5655 0.7500 Th
0.5655 0.4345 0.2500 Th

Entry 6:
PBE La5SmY2Th, optimized geometry; uncorrected energy = -97.1 eV/cell; SG = Cmc2_1, No. 36; E_form = 0.127 eV/atom
1.0
2.7673 -10.9692 0.0000
2.7673 10.9692 0.0000
0.0000 0.0000 10.6913
La Sm Y Th
10 2 4 2
direct
0.0001 0.9999 0.0000 La
0.9999 0.0001 0.5000 La
0.1266 0.8734 0.7503 La
0.2230 0.7770 0.4430 La
0.2236 0.7764 0.0588 La
0.4974 0.5026 0.2501 La
0.5026 0.4974 0.7501 La
0.7764 0.2236 0.5588 La
0.7770 0.2230 0.9430 La
0.8734 0.1266 0.2503 La
0.1021 0.8979 0.2502 Sm
0.8979 0.1021 0.7502 Sm
0.3871 0.6129 0.5078 Y
0.3876 0.6124 0.9924 Y
0.6124 0.3876 0.4924 Y
0.6129 0.3871 0.0078 Y
0.2849 0.7151 0.7508 Th
0.7151 0.2849 0.2508 Th

Entry 7:
PBE La2Sm2Y6Th, optimized geometry; uncorrected energy = -63.6 eV/cell; SG = C2/m, No. 12; E_form = 0.174 eV/atom
1.0
3.2671 -5.1829 0.0000
3.2671 5.1829 0.0000
-0.8745 0.0000 11.2332
La Sm Y Th
2 2 6 1
direct
0.1578 0.8422 0.0000 La
0.8422 0.1578 0.0000 La
0.2225 0.7775 0.5000 Sm
0.7775 0.2225 0.5000 Sm
0.1181 0.4502 0.7543 Y
0.2494 0.2494 0.2942 Y
0.4502 0.1181 0.7543 Y
0.5498 0.8819 0.2457 Y
0.7506 0.7506 0.7058 Y
0.8819 0.5498 0.2457 Y
0.5000 0.5000 0.0000 Th

Entry 8:
PBE La6Sm2YTh, optimized geometry; uncorrected energy = -50.9 eV/cell; SG = C2/m, No. 12; E_form = 0.195 eV/atom
1.0
5.7981 -3.4816 0.0000
5.7981 3.4816 0.0000
-2.9761 0.0000 8.8163
La Sm Y Th
6 2 1 1
direct
0.0657 0.5387 0.1920 La
0.1263 0.1263 0.4149 La
0.4613 0.9343 0.8080 La
0.5387 0.0657 0.1920 La
0.8737 0.8737 0.5851 La
0.9343 0.4613 0.8080 La
0.4300 0.4300 0.8258 Sm
0.5700 0.5700 0.1742 Sm
0.5000 0.5000 0.5000 Y
0.0000 0.0000 0.0000 Th

Q: Which of these has the highest uncorrected energy?
A: La6Sm2YTh

Copy entry 6 word for word.
PBE La5SmY2Th, optimized geometry; uncorrected energy = -97.1 eV/cell; SG = Cmc2_1, No. 36; E_form = 0.127 eV/atom
1.0
2.7673 -10.9692 0.0000
2.7673 10.9692 0.0000
0.0000 0.0000 10.6913
La Sm Y Th
10 2 4 2
direct
0.0001 0.9999 0.0000 La
0.9999 0.0001 0.5000 La
0.1266 0.8734 0.7503 La
0.2230 0.7770 0.4430 La
0.2236 0.7764 0.0588 La
0.4974 0.5026 0.2501 La
0.5026 0.4974 0.7501 La
0.7764 0.2236 0.5588 La
0.7770 0.2230 0.9430 La
0.8734 0.1266 0.2503 La
0.1021 0.8979 0.2502 Sm
0.8979 0.1021 0.7502 Sm
0.3871 0.6129 0.5078 Y
0.3876 0.6124 0.9924 Y
0.6124 0.3876 0.4924 Y
0.6129 0.3871 0.0078 Y
0.2849 0.7151 0.7508 Th
0.7151 0.2849 0.2508 Th